Ti2Al5Fe2Au: relaxed, PBE-GGA.

POSCAR file:
```
Ti2Al5Fe2Au
1.0
8.646 0.000 0.000
0.000 8.646 0.000
0.000 0.000 3.996
Ti Al Fe Au
4 10 4 2
Direct
0.168 0.332 0.000 Ti
0.332 0.832 0.000 Ti
0.668 0.168 0.000 Ti
0.832 0.668 0.000 Ti
0.000 0.500 0.500 Al
0.077 0.789 0.500 Al
0.211 0.077 0.500 Al
0.289 0.577 0.500 Al
0.423 0.289 0.500 Al
0.500 0.000 0.500 Al
0.577 0.711 0.500 Al
0.711 0.423 0.500 Al
0.789 0.923 0.500 Al
0.923 0.211 0.500 Al
0.117 0.617 0.000 Fe
0.383 0.117 0.000 Fe
0.617 0.883 0.000 Fe
0.883 0.383 0.000 Fe
0.000 0.000 0.000 Au
0.500 0.500 0.000 Au
```

## Properties
- total magnetic moment (μB/cell) = 0.0
- ΔH_f (0 K) (eV/f.u.) = -3.2